Record 1
A geometry-optimized Cu2AgHgI6 structure, computed with GGA-PBE.

Cell lengths 14.9751, 14.9691, 7.7137 Å; angles 90.00, 114.33, 90.00 degrees
Space group C2/c (No. 15)
Symmetry-distinct sites (fractional):
1 Cu 0.1963 0.0681 0.2580 (multiplicity 8)
2 Ag 0.0000 0.3167 0.2500 (multiplicity 4)
3 Hg 0.0000 0.2976 0.7500 (multiplicity 4)
4 I 0.1129 0.4124 0.5960 (multiplicity 8)
5 I 0.1298 0.2316 0.1126 (multiplicity 8)
6 I 0.1364 0.0609 0.5247 (multiplicity 8)

Formation energy (no corrections), eV per formula unit: -1.61
Crystal system: monoclinic

Record 2
A geometry-optimized TlReCl2 structure, computed with GGA-PBE.

Cell lengths 7.5706, 7.5706, 7.5706 Å; angles 90.00, 90.00, 90.00 degrees
Space group Fm-3m (No. 225)
Symmetry-distinct sites (fractional):
1 Tl 0.0000 0.0000 0.0000 (multiplicity 4)
2 Re 0.0000 0.0000 0.5000 (multiplicity 4)
3 Cl 0.2500 0.2500 0.2500 (multiplicity 8)

ΔE to the lowest computed polymorph, meV per atom: 739
Formation energy (no corrections), eV per formula unit: 3.32
Crystal system: cubic

Record 3
A geometry-optimized InHg2Pd9 structure, computed with GGA-PBE.

Cell lengths 4.0482, 4.0482, 12.1447 Å; angles 90.00, 90.00, 90.00 degrees
Space group P4/mmm (No. 123)
Symmetry-distinct sites (fractional):
1 In 0.0000 0.0000 0.0000 (multiplicity 1)
2 Hg 0.0000 0.0000 0.3326 (multiplicity 2)
3 Pd 0.0000 0.5000 0.1640 (multiplicity 4)
4 Pd 0.0000 0.5000 0.5000 (multiplicity 2)
5 Pd 0.5000 0.5000 0.0000 (multiplicity 1)
6 Pd 0.5000 0.5000 0.3320 (multiplicity 2)

Energy relative to the elements, meV per atom: -206
Crystal system: tetragonal